No. 1
## ZrHg2Ru (PBE-GGA)

Data for a geometry-optimized ZrHg2Ru structure.

Lattice parameters (Å, degrees): 3.279 3.279 7.654 90.00 90.00 90.00
Element x y z (fractional)
Ru: 0.000 0.000 0.524
Zr: 0.500 0.500 0.705
Hg: 0.500 0.500 0.280
Hg: 0.000 0.000 0.991

Summary:
- Energy: -18.70 eV for the cell shown
- Total moment: 0.00 μB per formula unit

No. 2
## ZrHg2Ru (PBE-GGA)

Data for a geometry-optimized ZrHg2Ru structure.

Lattice parameters (Å, degrees): 4.786 4.786 4.786 60.00 60.00 60.00
Element x y z (fractional)
Hg: 0.000 0.000 0.000
Hg: 0.250 0.250 0.250
Ru: 0.500 0.500 0.500
Zr: 0.750 0.750 0.750

Summary:
- Energy: -17.78 eV for the cell shown
- Total moment: 0.00 μB per formula unit

No. 3
## Zr6Hg3Ru (PBE-GGA)

Data for a geometry-optimized Zr6Hg3Ru structure.

Lattice parameters (Å, degrees): 7.683 5.915 5.915 58.06 76.16 76.16
Element x y z (fractional)
Zr: 0.678 0.888 0.397
Zr: 0.082 0.637 0.637
Zr: 0.918 0.363 0.363
Zr: 0.322 0.603 0.112
Zr: 0.678 0.397 0.888
Zr: 0.322 0.112 0.603
Hg: 0.000 0.000 0.000
Hg: 0.314 0.115 0.115
Hg: 0.686 0.885 0.885
Ru: 0.500 0.500 0.500

Summary:
- Energy: -61.12 eV for the cell shown
- Total moment: 0.00 μB per formula unit

No. 4
## ZrHg2Ru (PBE-GGA)

Data for a geometry-optimized ZrHg2Ru structure.

Lattice parameters (Å, degrees): 3.200 3.200 7.536 90.00 90.00 90.00
Last column: magnetic moment on the atom in μB.
Element x y z (fractional)
Zr: 0.500 0.500 0.750  0.14
Ru: 0.500 0.500 0.250  0.50
Hg: 0.000 0.000 0.022  0.00
Hg: 0.000 0.000 0.478  0.00

Summary:
- Energy: -17.46 eV for the cell shown
- Total moment: 0.72 μB per formula unit

No. 5
## ZrHg2Ru (PBE-GGA)

Data for a geometry-optimized ZrHg2Ru structure.

Lattice parameters (Å, degrees): 9.891 9.891 9.891 17.80 17.80 17.80
Last column: magnetic moment on the atom in μB.
Element x y z (fractional)
Zr: 0.750 0.750 0.750  -0.06
Hg: 0.995 0.995 0.995  -0.01
Hg: 0.505 0.505 0.505  -0.01
Ru: 0.250 0.250 0.250  0.77

Summary:
- Energy: -17.19 eV for the cell shown
- Total moment: 0.66 μB per formula unit

No. 6
## ZrHg2Ru (PBE-GGA)

Data for a geometry-optimized ZrHg2Ru structure.

Lattice parameters (Å, degrees): 5.211 5.211 5.211 132.24 132.24 69.85
Element x y z (fractional)
Ru: 0.500 0.500 0.000
Hg: 0.250 0.750 0.500
Hg: 0.000 0.000 0.000
Zr: 0.750 0.250 0.500

Summary:
- Energy: -18.19 eV for the cell shown
- Total moment: 0.00 μB per formula unit